(1)
First-principles (PBE-GGA) data for a relaxed Cu2Ru crystal, as listed in the Alexandria database.

Output
Total energy, eV/atom: -5.36
Formation energy from the elements, meV per atom: 461.2
DOS(E_F), states/eV/cell: 4.88
Total moment, Bohr magnetons per cell: 3.4

The structure in extended XYZ format:
```
6
Lattice="2.117 -3.667 0.000 2.117 3.667 0.000 0.000 0.000 5.097" Properties=species:S:1:pos:R:3 pbc="T T T"
Cu 0.000 0.000 0.000
Cu 0.000 0.000 2.549
Cu 2.117 1.222 1.274
Cu 2.117 -1.222 3.823
Ru 2.117 1.222 3.823
Ru 2.117 -1.222 1.274
```

=====

(2)
First-principles (PBE-GGA) data for a relaxed LaZnIn2As crystal, as listed in the Alexandria database.

Output
Total energy, eV/atom: -3.19
Formation energy from the elements, meV per atom: 76.6
DOS(E_F), states/eV/cell: 3.24
Total moment, Bohr magnetons per cell: 0.0

The structure in extended XYZ format:
```
5
Lattice="-1.000 -5.063 -1.286 1.644 1.047 -5.403 4.997 -1.309 1.267" Properties=species:S:1:pos:R:3 pbc="T T T"
As 0.000 0.000 0.000
In 2.499 -0.654 0.634
In -0.500 -2.532 -0.643
Zn 2.821 -2.663 -2.711
La 0.822 0.524 -2.702
```

=====

(3)
First-principles (PBE-GGA) data for a relaxed CrSiI2N crystal, as listed in the Alexandria database.

Output
Total energy, eV/atom: -4.34
DOS(E_F), states/eV/cell: 5.81
Total moment, Bohr magnetons per cell: 0.2
Energy relative to the elements, uncorrected, meV/atom: 954

The structure in extended XYZ format:
```
5
Lattice="5.618 0.000 0.000 0.000 5.618 0.000 0.000 0.000 3.341" Properties=species:S:1:pos:R:3 pbc="T T T"
I 0.000 2.809 0.000
I 2.809 0.000 0.000
Cr 2.809 2.809 1.670
Si 0.000 0.000 0.000
N 0.000 0.000 1.670
```

=====

(4)
First-principles (PBE-GGA) data for a relaxed PuUTe2N crystal, as listed in the Alexandria database.

Output
Total energy, eV/atom: -9.10
DOS(E_F), states/eV/cell: 30.64
Total moment, Bohr magnetons per cell: 8.6
Energy relative to the elements, uncorrected, meV/atom: -1059

The structure in extended XYZ format:
```
10
Lattice="4.123 0.000 0.000 0.000 4.123 0.000 0.000 0.000 14.715" Properties=species:S:1:pos:R:3 pbc="T T T"
Pu 2.062 0.000 1.319
Pu 0.000 2.062 13.396
U 2.062 0.000 8.392
U 0.000 2.062 6.323
Te 0.000 2.062 10.095
Te 0.000 2.062 1.919
Te 2.062 0.000 12.796
Te 2.062 0.000 4.620
N 0.000 0.000 7.358
N 2.062 2.062 7.358
```

=====

(5)
First-principles (PBE-GGA) data for a relaxed KLaSb2 crystal, as listed in the Alexandria database.

Output
Total energy, eV/atom: -4.11
DOS(E_F), states/eV/cell: 6.23
Total moment, Bohr magnetons per cell: 0.0
Energy relative to the elements, uncorrected, meV/atom: -540

The structure in extended XYZ format:
```
4
Lattice="0.000 4.016 4.016 4.016 0.000 4.016 4.016 4.016 0.000" Properties=species:S:1:pos:R:3 pbc="T T T"
Sb 2.008 2.008 2.008
Sb 6.023 6.023 6.023
K 0.000 0.000 0.000
La 4.016 4.016 4.016
```

=====

(6)
First-principles (PBE-GGA) data for a relaxed Be2CoPd crystal, as listed in the Alexandria database.

Output
Total energy, eV/atom: -4.50
Formation energy from the elements, meV per atom: 435.0
DOS(E_F), states/eV/cell: 2.83
Total moment, Bohr magnetons per cell: 1.9

The structure in extended XYZ format:
```
4
Lattice="4.258 -1.307 -2.451 -1.066 4.325 2.451 -2.961 -0.066 4.133" Properties=species:S:1:pos:R:3 pbc="T T T"
Be -0.993 1.050 1.623
Be -3.034 3.209 4.961
Co 0.000 0.000 0.000
Pd -2.013 2.130 3.292
```